No. 1
# LaHo2Ga4 PBE optimized geometry
# D(E_F) = 0.598 states/eV/atom
# formation enthalpy at 0 K = -656 meV/atom
# total magnetic moment = 0.0 μB per formula unit
data_LaHo2Ga4
_cell_length_a 4.183
_cell_length_b 4.371
_cell_length_c 18.316
_cell_angle_alpha 90.00
_cell_angle_beta 90.00
_cell_angle_gamma 90.00
_symmetry_space_group_name_H-M 'I m m m'
_symmetry_Int_Tables_number 71
_symmetry_space_group_name_Hall '-I 2 2'
loop_
_atom_site_label
_atom_site_type_symbol
_atom_site_fract_x
_atom_site_fract_y
_atom_site_fract_z
_atom_site_occupancy
La1 La 0.000 0.000 0.000 1
Ho1 Ho 0.000 0.500 0.315 1
Ga1 Ga 0.000 0.000 0.431 1
Ga2 Ga 0.000 0.500 0.149 1

No. 2
# ErTmPt2 PBE optimized geometry
# D(E_F) = 0.514 states/eV/atom
# formation enthalpy at 0 K = -1276 meV/atom
# total magnetic moment = 0.0 μB per formula unit
data_ErTmPt2
_cell_length_a 4.902
_cell_length_b 4.902
_cell_length_c 3.433
_cell_angle_alpha 90.00
_cell_angle_beta 90.00
_cell_angle_gamma 90.00
_symmetry_space_group_name_H-M 'P 4/m m m'
_symmetry_Int_Tables_number 123
_symmetry_space_group_name_Hall '-P 4 2'
loop_
_atom_site_label
_atom_site_type_symbol
_atom_site_fract_x
_atom_site_fract_y
_atom_site_fract_z
_atom_site_occupancy
Er1 Er 0.000 0.000 0.000 1
Tm1 Tm 0.500 0.500 0.000 1
Pt1 Pt 0.000 0.500 0.500 1

No. 3
# Ca2FeBr PBE optimized geometry
# D(E_F) = 1.087 states/eV/atom
# final energy = -3.604 eV per atom
# total magnetic moment = 2.5 μB per formula unit
data_Ca2FeBr
_cell_length_a 3.523
_cell_length_b 5.146
_cell_length_c 11.750
_cell_angle_alpha 90.00
_cell_angle_beta 90.00
_cell_angle_gamma 90.00
_symmetry_space_group_name_H-M 'I m m 2'
_symmetry_Int_Tables_number 44
_symmetry_space_group_name_Hall 'I 2 -2'
loop_
_atom_site_label
_atom_site_type_symbol
_atom_site_fract_x
_atom_site_fract_y
_atom_site_fract_z
_atom_site_occupancy
Ca1 Ca 0.000 0.000 0.000 1
Ca2 Ca 0.000 0.500 0.205 1
Fe1 Fe 0.000 0.500 0.729 1
Br1 Br 0.000 0.000 0.464 1

No. 4
# Ca7Pd2Au2 PBE optimized geometry
# D(E_F) = 0.441 states/eV/atom
# formation enthalpy at 0 K = -435 meV/atom
# total magnetic moment = 0.0 μB per formula unit
data_Ca7Pd2Au2
_cell_length_a 9.005
_cell_length_b 10.598
_cell_length_c 7.236
_cell_angle_alpha 90.00
_cell_angle_beta 90.00
_cell_angle_gamma 90.00
_symmetry_space_group_name_H-M 'C m m m'
_symmetry_Int_Tables_number 65
_symmetry_space_group_name_Hall '-C 2 2'
loop_
_atom_site_label
_atom_site_type_symbol
_atom_site_fract_x
_atom_site_fract_y
_atom_site_fract_z
_atom_site_occupancy
Ca1 Ca 0.000 0.000 0.000 1
Ca2 Ca 0.000 0.500 0.265 1
Ca3 Ca 0.250 0.250 0.268 1
Pd1 Pd 0.229 0.000 0.500 1
Au1 Au 0.000 0.280 0.000 1

No. 5
# RbTiBi2 PBE optimized geometry
# D(E_F) = 0.622 states/eV/atom
# formation enthalpy at 0 K = -111 meV/atom
# total magnetic moment = 0.0 μB per formula unit
data_RbTiBi2
_cell_length_a 4.3143
_cell_length_b 4.3143
_cell_length_c 25.7890
_cell_angle_alpha 90.00
_cell_angle_beta 90.00
_cell_angle_gamma 120.00
_symmetry_space_group_name_H-M 'R 3 m'
_symmetry_Int_Tables_number 160
_symmetry_space_group_name_Hall 'R 3 -2"'
loop_
_atom_site_label
_atom_site_type_symbol
_atom_site_fract_x
_atom_site_fract_y
_atom_site_fract_z
_atom_site_occupancy
Rb1 Rb 0.0000 0.0000 0.0000 1
Ti1 Ti 0.0000 0.0000 0.1691 1
Bi1 Bi 0.0000 0.0000 0.5592 1
Bi2 Bi 0.0000 0.0000 0.7777 1

No. 6
# LaMgMo2 PBE optimized geometry
# D(E_F) = 1.042 states/eV/atom
# formation enthalpy at 0 K = 661 meV/atom
# total magnetic moment = 0.0 μB per formula unit
data_LaMgMo2
_cell_length_a 3.512
_cell_length_b 4.753
_cell_length_c 4.840
_cell_angle_alpha 90.00
_cell_angle_beta 90.00
_cell_angle_gamma 90.00
_symmetry_space_group_name_H-M 'P m m m'
_symmetry_Int_Tables_number 47
_symmetry_space_group_name_Hall '-P 2 2'
loop_
_atom_site_label
_atom_site_type_symbol
_atom_site_fract_x
_atom_site_fract_y
_atom_site_fract_z
_atom_site_occupancy
La1 La 0.000 0.000 0.000 1
Mg1 Mg 0.500 0.500 0.000 1
Mo1 Mo 0.000 0.500 0.500 1
Mo2 Mo 0.500 0.000 0.500 1